1.
Pm8Cu2Rh GGA-PBE optimized geometry; formation energy = -187 kJ/mol of formula units
1.0
-3.038 2.739 -3.156
-5.543 -2.567 3.108
3.238 5.951 6.277
Pm Cu Rh
8 2 1
direct
0.665 0.974 0.330
0.967 0.213 0.934
0.335 0.026 0.670
0.411 0.557 0.823
0.033 0.787 0.066
0.589 0.443 0.177
0.800 0.665 0.600
0.200 0.335 0.400
0.810 0.260 0.620
0.190 0.740 0.380
0.500 0.000 0.000


2.
Nd3Dy4Bi8 GGA-PBE optimized geometry; formation energy = -1004 kJ/mol of formula units
1.0
-6.221 -4.952 4.213
8.320 0.672 3.477
-0.712 9.014 -0.057
Dy Bi Nd
4 8 3
direct
0.000 0.500 0.000
0.000 0.000 0.500
0.000 0.000 0.000
0.500 0.000 0.000
0.500 0.247 0.753
0.500 0.753 0.247
0.007 0.751 0.751
0.000 0.252 0.748
0.993 0.249 0.249
0.497 0.752 0.752
0.000 0.748 0.252
0.503 0.248 0.248
0.500 0.500 0.500
0.500 0.500 0.000
0.500 0.000 0.500


3.
CsSm2Br7 GGA-PBE optimized geometry; final energy = -0.149 Ha/atom
1.0
5.744 0.000 0.000
0.000 8.720 -0.036
0.000 -3.879 7.809
Br Sm Cs
7 2 1
direct
0.500 0.672 0.952
0.500 0.952 0.672
0.500 0.048 0.328
0.000 0.705 0.295
0.500 0.328 0.048
0.000 0.295 0.705
0.500 0.500 0.500
0.500 0.697 0.303
0.500 0.303 0.697
0.000 0.000 0.000


4.
CdSbSe2 GGA-PBE optimized geometry; final energy = -0.110 Ha/atom
1.0
8.022 0.059 0.000
6.045 5.274 0.000
-7.034 -2.667 2.789
Cd Sb Se
1 1 2
direct
0.500 0.500 0.000
0.750 0.250 0.500
0.000 0.000 0.000
0.250 0.750 0.500


| no. | magnetization (μB per formula unit) |
| --- | --- |
| 1 | 0.0 |
| 2 | 0.0 |
| 3 | 0.0 |
| 4 | 0.3 |